DFT (PBE-GGA) results for ZrSc2Hg4 after structural relaxation.

Values from the calculation:
DOS(E_F)	0.8140	states/eV/atom
formation energy	-0.198	eV per atom
crystal system	tetragonal
symmetry	P4/mmm, No. 123

The structure in POSCAR format:
```
ZrSc2Hg4
1.0
4.944 0.000 0.000
0.000 4.944 0.000
0.000 0.000 6.819
Zr Sc Hg
1 2 4
Direct
0.000 0.000 0.000 Zr
0.000 0.000 0.500 Sc
0.500 0.500 0.000 Sc
0.000 0.500 0.266 Hg
0.000 0.500 0.734 Hg
0.500 0.000 0.266 Hg
0.500 0.000 0.734 Hg
```